Entry 1:
Compound: Rb2NiCl5
Source: Alexandria
Functional: PBE
Structure: optimized geometry

## Properties
The calculation puts the uncorrected formation energy at -1253 meV per atom. The calculation puts the total moment at 0.116 μB per atom. Its space group is I4mm (107). Its uncorrected energy is -3.372 eV/atom.

```
Rb2NiCl5
1.0
6.967 0.125 0.177
-3.322 6.125 -0.177
-3.322 -2.251 5.700
Cl Rb Ni
5 2 1
Direct
0.000 0.774 0.205
0.000 0.261 0.261
0.432 0.205 0.205
0.000 0.205 0.774
0.568 0.774 0.774
0.500 0.243 0.743
0.500 0.743 0.243
0.000 0.018 0.018
```

=====

Entry 2:
Compound: Ba4U3InO12
Source: Alexandria
Functional: PBE
Structure: optimized geometry

## Properties
The calculation puts the uncorrected formation energy at -2888 meV per atom. The calculation puts the total moment at 0.154 μB per atom. Its space group is Im-3m (229). Its uncorrected energy is -8.078 eV/atom.

```
Ba4U3InO12
1.0
7.764 0.000 0.000
-2.588 7.320 0.000
-2.588 -3.660 6.339
O In Ba U
12 1 4 3
Direct
0.275 0.275 0.000
0.725 0.000 0.725
0.000 0.275 0.275
0.275 0.000 0.275
0.500 0.750 0.250
0.500 0.250 0.750
0.250 0.750 0.500
0.725 0.725 0.000
0.250 0.500 0.750
0.750 0.500 0.250
0.750 0.250 0.500
0.000 0.725 0.725
0.000 0.000 0.000
0.500 0.000 0.000
0.500 0.500 0.500
0.000 0.000 0.500
0.000 0.500 0.000
0.500 0.500 0.000
0.500 0.000 0.500
0.000 0.500 0.500
```

=====

Entry 3:
Compound: Ga2SiPb2
Source: Alexandria
Functional: PBE
Structure: optimized geometry

## Properties
The calculation puts the uncorrected formation energy at 409 meV per atom. The calculation puts the total moment at 0.000 μB per atom. The energy relative to the lowest polymorph listed for this composition is 0.227 eV per atom. Its space group is P4/mbm (127). Its uncorrected energy is -3.370 eV/atom.

```
Ga2SiPb2
1.0
-0.701 -6.977 4.804
4.922 3.588 5.929
-2.848 1.351 1.547
Ga Pb Si
4 4 2
Direct
0.112 0.612 0.500
0.612 0.888 0.500
0.888 0.388 0.500
0.388 0.112 0.500
0.811 0.689 0.000
0.311 0.811 0.000
0.689 0.189 0.000
0.189 0.311 0.000
0.000 0.000 0.000
0.500 0.500 0.000
```

=====

Entry 4:
Compound: Zn9Ga3Mo2
Source: Alexandria
Functional: PBE
Structure: optimized geometry

## Properties
The calculation puts the total moment at 0.000 μB per atom. Its space group is P-3m1 (164). Its uncorrected energy is -3.125 eV/atom. The formation enthalpy at 0 K comes out at -0.11 eV per atom.

```
Zn9Ga3Mo2
1.0
5.486 0.000 0.000
-2.743 4.751 0.000
0.000 0.000 8.778
Ga Zn Mo
3 9 2
Direct
0.500 0.000 0.500
0.500 0.500 0.500
0.000 0.500 0.500
0.500 0.000 0.000
0.500 0.500 0.000
0.319 0.160 0.242
0.160 0.840 0.758
0.840 0.160 0.242
0.840 0.681 0.242
0.681 0.840 0.758
0.160 0.319 0.758
0.000 0.500 0.000
0.333 0.667 0.261
0.667 0.333 0.739
```